Computed, not measured: a relaxed structure of NaIn8Ir2 at the PBE level of DFT.

Lattice parameters (Å, degrees): 7.4205 7.4205 5.2223 97.12 97.12 107.47
Atoms (fractional coordinates):
Na1 0.0000 0.0000 0.0000
In1 0.0821 0.3310 0.5818
In2 0.2713 0.7287 0.0000
In3 0.3310 0.0821 0.5818
In4 0.3954 0.3954 0.2136
In5 0.6046 0.6046 0.7864
In6 0.6690 0.9179 0.4182
In7 0.7287 0.2713 0.0000
In8 0.9179 0.6690 0.4182
Ir1 0.2984 0.7016 0.5000
Ir2 0.7016 0.2984 0.5000

Values from the calculation:
Relative energy among the computed polymorphs (meV/atom): 0
Energy of formation (eV per atom): -0.11
Symmetry: C2/m
V (Å³/atom): 24.4
Final energy (eV per atom): -3.83


Computed, not measured: a relaxed structure of Hg12Bi3Cl5 at the PBE level of DFT.

Lattice parameters (Å, degrees): 15.3343 15.3343 15.3343 109.47 109.47 109.47
Atoms (fractional coordinates):
Hg1 0.0616 0.2352 0.1320
Hg2 0.0616 0.3264 0.9296
Hg3 0.0704 0.6320 0.3968
Hg4 0.0704 0.9384 0.6736
Hg5 0.1032 0.7352 0.6736
Hg6 0.1032 0.8680 0.4296
Hg7 0.1320 0.0616 0.2352
Hg8 0.1320 0.5704 0.8968
Hg9 0.1736 0.2352 0.6032
Hg10 0.1736 0.4384 0.5704
Hg11 0.2352 0.1320 0.0616
Hg12 0.2352 0.6032 0.1736
Hg13 0.2648 0.3264 0.8968
Hg14 0.2648 0.4384 0.3680
Hg15 0.3264 0.8968 0.2648
Hg16 0.3264 0.9296 0.0616
Hg17 0.3680 0.2648 0.4384
Hg18 0.3680 0.6032 0.9296
Hg19 0.3968 0.0704 0.6320
Hg20 0.3968 0.8264 0.7648
Hg21 0.4296 0.1032 0.8680
Hg22 0.4296 0.8264 0.5616
Hg23 0.4384 0.3680 0.2648
Hg24 0.4384 0.5704 0.1736
Hg25 0.5616 0.4296 0.8264
Hg26 0.5616 0.6320 0.7352
Hg27 0.5704 0.1736 0.4384
Hg28 0.5704 0.8968 0.1320
Hg29 0.6032 0.1736 0.2352
Hg30 0.6032 0.9296 0.3680
Hg31 0.6320 0.3968 0.0704
Hg32 0.6320 0.7352 0.5616
Hg33 0.6736 0.0704 0.9384
Hg34 0.6736 0.1032 0.7352
Hg35 0.7352 0.5616 0.6320
Hg36 0.7352 0.6736 0.1032
Hg37 0.7648 0.3968 0.8264
Hg38 0.7648 0.8680 0.9384
Hg39 0.8264 0.5616 0.4296
Hg40 0.8264 0.7648 0.3968
Hg41 0.8680 0.4296 0.1032
Hg42 0.8680 0.9384 0.7648
Hg43 0.8968 0.1320 0.5704
Hg44 0.8968 0.2648 0.3264
Hg45 0.9296 0.0616 0.3264
Hg46 0.9296 0.3680 0.6032
Hg47 0.9384 0.6736 0.0704
Hg48 0.9384 0.7648 0.8680
Bi1 0.1250 0.2500 0.3750
Bi2 0.1250 0.3750 0.7500
Bi3 0.2500 0.3750 0.1250
Bi4 0.2500 0.8750 0.6250
Bi5 0.3750 0.1250 0.2500
Bi6 0.3750 0.7500 0.1250
Bi7 0.6250 0.2500 0.8750
Bi8 0.6250 0.8750 0.7500
Bi9 0.7500 0.1250 0.3750
Bi10 0.7500 0.6250 0.8750
Bi11 0.8750 0.6250 0.2500
Bi12 0.8750 0.7500 0.6250
Cl1 0.0000 0.0000 0.0000
Cl2 0.0000 0.0000 0.5000
Cl3 0.0000 0.5000 0.0000
Cl4 0.0000 0.5000 0.5000
Cl5 0.1250 0.7500 0.8750
Cl6 0.1250 0.8750 0.2500
Cl7 0.2500 0.1250 0.8750
Cl8 0.2500 0.6250 0.3750
Cl9 0.3750 0.2500 0.6250
Cl10 0.3750 0.6250 0.7500
Cl11 0.5000 0.0000 0.0000
Cl12 0.5000 0.0000 0.5000
Cl13 0.5000 0.5000 0.0000
Cl14 0.5000 0.5000 0.5000
Cl15 0.6250 0.3750 0.2500
Cl16 0.6250 0.7500 0.3750
Cl17 0.7500 0.3750 0.6250
Cl18 0.7500 0.8750 0.1250
Cl19 0.8750 0.1250 0.7500
Cl20 0.8750 0.2500 0.1250

Values from the calculation:
Symmetry: Ia-3d
V (Å³/atom): 34.7
Final energy (eV per atom): -1.32


Computed, not measured: a relaxed structure of VCoCuSn at the PBE level of DFT.

Lattice parameters (Å, degrees): 6.0896 6.0896 6.0896 90.00 90.00 90.00
Atoms (fractional coordinates):
V1 0.0000 0.0000 0.0000
V2 0.0000 0.5000 0.5000
V3 0.5000 0.0000 0.5000
V4 0.5000 0.5000 0.0000
Co1 0.2500 0.2500 0.7500
Co2 0.2500 0.7500 0.2500
Co3 0.7500 0.2500 0.2500
Co4 0.7500 0.7500 0.7500
Cu1 0.2500 0.2500 0.2500
Cu2 0.2500 0.7500 0.7500
Cu3 0.7500 0.2500 0.7500
Cu4 0.7500 0.7500 0.2500
Sn1 0.0000 0.0000 0.5000
Sn2 0.0000 0.5000 0.0000
Sn3 0.5000 0.0000 0.0000
Sn4 0.5000 0.5000 0.5000

Values from the calculation:
Energy of formation (eV per atom): 0.06
Symmetry: F-43m
V (Å³/atom): 14.1
Final energy (eV per atom): -6.02


Computed, not measured: a relaxed structure of LiNi2Pt at the PBE level of DFT.

Lattice parameters (Å, degrees): 2.8023 4.0882 4.2444 90.00 90.00 90.00
Atoms (fractional coordinates):
Li1 0.0000 0.0000 0.0000
Ni1 0.0000 0.5000 0.5000
Ni2 0.5000 0.0000 0.5000
Pt1 0.5000 0.5000 0.0000

Values from the calculation:
Energy of formation (eV per atom): -0.16
Symmetry: Pmmm
V (Å³/atom): 12.2
Final energy (eV per atom): -5.04


Computed, not measured: a relaxed structure of TmGa2Pt4 at the PBE level of DFT.

Lattice parameters (Å, degrees): 16.1918 4.2081 7.1771 90.00 90.00 90.00
Atoms (fractional coordinates):
Tm1 0.1479 0.2500 0.0660
Tm2 0.3521 0.7500 0.5660
Tm3 0.6479 0.2500 0.4340
Tm4 0.8521 0.7500 0.9340
Ga1 0.0217 0.7500 0.2492
Ga2 0.1920 0.2500 0.6233
Ga3 0.3080 0.7500 0.1233
Ga4 0.4783 0.2500 0.7492
Ga5 0.5217 0.7500 0.2508
Ga6 0.6920 0.2500 0.8767
Ga7 0.8080 0.7500 0.3767
Ga8 0.9783 0.2500 0.7508
Pt1 0.0455 0.7500 0.9003
Pt2 0.0554 0.2500 0.4422
Pt3 0.1732 0.7500 0.3905
Pt4 0.2141 0.7500 0.8222
Pt5 0.2859 0.2500 0.3222
Pt6 0.3268 0.2500 0.8905
Pt7 0.4446 0.7500 0.9422
Pt8 0.4545 0.2500 0.4003
Pt9 0.5455 0.7500 0.5997
Pt10 0.5554 0.2500 0.0578
Pt11 0.6732 0.7500 0.1095
Pt12 0.7141 0.7500 0.6778
Pt13 0.7859 0.2500 0.1778
Pt14 0.8268 0.2500 0.6095
Pt15 0.9446 0.7500 0.5578
Pt16 0.9545 0.2500 0.0997

Values from the calculation:
Relative energy among the computed polymorphs (meV/atom): 0
Energy of formation (eV per atom): -0.84
Symmetry: Pnma
V (Å³/atom): 17.5
Final energy (eV per atom): -5.80


Computed, not measured: a relaxed structure of RbPuPbO6 at the PBE level of DFT.

Lattice parameters (Å, degrees): 7.8742 7.8742 7.8742 123.01 118.47 88.77
Atoms (fractional coordinates):
Rb1 0.3480 0.0980 0.2500
Rb2 0.6520 0.9020 0.7500
Pu1 0.0000 0.5000 0.5000
Pu2 0.5000 0.5000 0.0000
Pb1 0.0000 0.0000 0.5000
Pb2 0.0000 0.5000 0.0000
O1 0.0699 0.4317 0.2660
O2 0.0699 0.8039 0.6381
O3 0.0855 0.8355 0.2500
O4 0.3012 0.5512 0.7500
O5 0.3343 0.1961 0.7660
O6 0.3343 0.5683 0.1381
O7 0.6657 0.4317 0.8619
O8 0.6657 0.8039 0.2340
O9 0.6988 0.4488 0.2500
O10 0.9145 0.1645 0.7500
O11 0.9301 0.1961 0.3619
O12 0.9301 0.5683 0.7340

Values from the calculation:
Symmetry: Imma
V (Å³/atom): 18.9
Final energy (eV per atom): -7.16


Computed, not measured: a relaxed structure of Er2Ti2Co15 at the PBE level of DFT.

Lattice parameters (Å, degrees): 6.3162 6.3162 6.3162 82.50 82.50 82.50
Atoms (fractional coordinates):
Er1 0.1460 0.1460 0.1460
Er2 0.8540 0.8540 0.8540
Ti1 0.3935 0.3935 0.3935
Ti2 0.6065 0.6065 0.6065
Co1 0.0000 0.5000 0.5000
Co2 0.1514 0.1514 0.6526
Co3 0.1514 0.6526 0.1514
Co4 0.2070 0.5000 0.7930
Co5 0.2070 0.7930 0.5000
Co6 0.3474 0.8486 0.8486
Co7 0.5000 0.0000 0.5000
Co8 0.5000 0.2070 0.7930
Co9 0.5000 0.5000 0.0000
Co10 0.5000 0.7930 0.2070
Co11 0.6526 0.1514 0.1514
Co12 0.7930 0.2070 0.5000
Co13 0.7930 0.5000 0.2070
Co14 0.8486 0.3474 0.8486
Co15 0.8486 0.8486 0.3474

Values from the calculation:
Energy of formation (eV per atom): -0.18
Symmetry: R-3m
V (Å³/atom): 12.9
Final energy (eV per atom): -7.10


Computed, not measured: a relaxed structure of TbY3Hg at the PBE level of DFT.

Lattice parameters (Å, degrees): 8.4077 8.4077 8.4077 50.34 50.34 50.34
Atoms (fractional coordinates):
Tb1 0.0893 0.0893 0.0893
Tb2 0.9107 0.9107 0.9107
Y1 0.1031 0.6065 0.6065
Y2 0.3935 0.3935 0.8969
Y3 0.3935 0.8969 0.3935
Y4 0.6065 0.1031 0.6065
Y5 0.6065 0.6065 0.1031
Y6 0.8969 0.3935 0.3935
Hg1 0.3340 0.3340 0.3340
Hg2 0.6660 0.6660 0.6660

Values from the calculation:
Energy of formation (eV per atom): -0.03
Symmetry: R-3m
V (Å³/atom): 32.4
Final energy (eV per atom): -4.89